Compound: Ba2SrCa
Source: the Alexandria database
Functional: GGA-PBEsol
Structure: optimized geometry

Geometry as CIF:
```
data_Ba2SrCa
_cell_length_a 4.968
_cell_length_b 6.480
_cell_length_c 12.848
_cell_angle_alpha 90.00
_cell_angle_beta 90.00
_cell_angle_gamma 90.00
_space_group_name_H-M_alt 'C m m 2'
_space_group_IT_number 35
loop_
_space_group_symop_operation_xyz
'x,y,z'
'-x,-y,z'
'-x,y,z'
'x,-y,z'
'x+1/2,y+1/2,z'
'-x+1/2,-y+1/2,z'
'-x+1/2,y+1/2,z'
'x+1/2,-y+1/2,z'
loop_
_atom_site_label
_atom_site_type_symbol
_atom_site_fract_x
_atom_site_fract_y
_atom_site_fract_z
Ba1 Ba 0.000 0.000 0.000
Ba2 Ba 0.000 0.500 0.266
Sr1 Sr 0.000 0.000 0.525
Ca1 Ca 0.000 0.500 0.759
```

## Properties
final energy = -16.4 eV/cell
ΔE_f = 22 meV/atom
polymorph energy (0 for the lowest one) = 0.02 eV per formula unit

=====

Compound: Fe4MoAu
Source: the Alexandria database
Functional: GGA-PBEsol
Structure: optimized geometry

Geometry as CIF:
```
data_Fe4MoAu
_cell_length_a 6.639
_cell_length_b 6.639
_cell_length_c 6.639
_cell_angle_alpha 90.00
_cell_angle_beta 90.00
_cell_angle_gamma 90.00
_space_group_name_H-M_alt 'F -4 3 m'
_space_group_IT_number 216
_space_group_name_Hall 'F -4 2 3'
loop_
_atom_site_label
_atom_site_type_symbol
_atom_site_fract_x
_atom_site_fract_y
_atom_site_fract_z
Fe1 Fe 0.125 0.125 0.125
Mo1 Mo 0.250 0.250 0.750
Au1 Au 0.000 0.000 0.500
```

## Properties
final energy = -205.2 eV/cell
ΔE_f = 41 meV/atom